First-principles (PBE-GGA) data for Li2BiSbO6 after structural relaxation, as listed in Alexandria.

Properties
Raw total energy in eV/cell: -55.89
Mass density in g cm⁻³: 6.4

```
Li2BiSbO6
1.0
2.653 1.531 4.706
-2.653 1.531 4.706
0.000 -3.063 4.706
Li Bi Sb O
2 1 1 6
Direct
0.000 0.000 0.000
0.496 0.496 0.496
0.211 0.211 0.211
0.709 0.709 0.709
0.092 0.434 0.807
0.322 0.912 0.614
0.434 0.807 0.092
0.614 0.322 0.912
0.807 0.092 0.434
0.912 0.614 0.322
```